# Lu4Fe3Mo2C3 PBE optimized geometry
data_Lu4Fe3Mo2C3
_symmetry_space_group_name_H-M 'P 1'
_symmetry_Int_Tables_number 1
_symmetry_space_group_name_Hall 'P 1'
_cell_length_a 5.5430
_cell_length_b 5.5430
_cell_length_c 14.0942
_cell_angle_alpha 100.90
_cell_angle_beta 100.90
_cell_angle_gamma 60.20
loop_
_atom_site_label
_atom_site_type_symbol
_atom_site_fract_x
_atom_site_fract_y
_atom_site_fract_z
_atom_site_occupancy
C1 C 0.0000 0.5000 0.0000 1
C2 C 0.6633 0.1953 0.9997 1
C3 C 0.1953 0.6633 0.4997 1
C4 C 0.3367 0.8047 0.0003 1
C5 C 0.5000 0.0000 0.5000 1
C6 C 0.8047 0.3367 0.5003 1
Fe1 Fe 0.4129 0.0850 0.7483 1
Fe2 Fe 0.4226 0.5774 0.7500 1
Fe3 Fe 0.5774 0.4226 0.2500 1
Fe4 Fe 0.0850 0.4129 0.2483 1
Fe5 Fe 0.9150 0.5871 0.7517 1
Fe6 Fe 0.5871 0.9150 0.2517 1
Lu1 Lu 0.8734 0.0356 0.6200 1
Lu2 Lu 0.3649 0.1842 0.0945 1
Lu3 Lu 0.1266 0.9644 0.3800 1
Lu4 Lu 0.1842 0.3649 0.5945 1
Lu5 Lu 0.8158 0.6351 0.4055 1
Lu6 Lu 0.0356 0.8734 0.1200 1
Lu7 Lu 0.6351 0.8158 0.9055 1
Lu8 Lu 0.9644 0.1266 0.8800 1
Mo1 Mo 0.5195 0.7057 0.5782 1
Mo2 Mo 0.2943 0.4805 0.9218 1
Mo3 Mo 0.7057 0.5195 0.0782 1
Mo4 Mo 0.4805 0.2943 0.4218 1
# Electronic total energy ... -7.8037 eV/atom
# Symmetry ... C2/c, No. 15